BaLaCl5: optimized geometry, GGA-PBE.

The calculation puts the density of states at the Fermi level at 0.000 states/eV/cell. Its crystal system is monoclinic. The calculation puts the uncorrected formation energy at -2.46 eV/atom. As for the density: 3.79 g cm⁻³.

The space group is C2/c (No. 15) and the conventional cell measures 5.603, 20.010 and 7.107 Å, with angles of 90.00, 93.58 and 90.00 degrees. Symmetry generates all atoms from Ba at (0.000, 0.175, 0.250), La at (0.000, 0.422, 0.250), Cl at (0.000, 0.127, 0.750), Cl at (0.006, 0.309, 0.996) and Cl at (0.243, 0.464, 0.604).